Entry 1:
14
Lattice="16.099 0.000 0.000 0.000 4.396 0.000 -2.873 0.000 7.667" Properties=species:S:1:pos:R:3 comment="SrIn2I2Cl2 | the Alexandria database | PBE | optimized geometry" mass_density_g_cm3=3.929 total_energy_ev_per_cell=-45.2 raw_formation_energy_ev_per_atom=-1.24 magnetic_moment_mub_per_atom=0.00 space_group="C2/m (12)" pbc="T T T"
Sr 0.000 0.000 0.000
Sr 8.050 2.198 0.000
In 0.446 0.000 4.308
In 4.730 2.198 3.358
In 8.496 2.198 4.308
In 12.780 0.000 3.358
I 2.785 0.000 1.855
I 2.391 2.198 5.812
I 10.835 2.198 1.855
I 10.441 0.000 5.812
Cl -1.983 2.198 5.974
Cl 7.160 0.000 1.693
Cl 6.066 0.000 5.974
Cl 15.209 2.198 1.693

***

Entry 2:
10
Lattice="8.238 0.000 0.000 0.000 4.887 0.000 -3.593 0.000 9.692" Properties=species:S:1:pos:R:3 comment="SrInICl2 | the Alexandria database | PBE | optimized geometry" mass_density_g_cm3=3.406 total_energy_ev_per_cell=-35.3 raw_formation_energy_ev_per_atom=-1.59 magnetic_moment_mub_per_atom=0.00 space_group="P2_1/m (11)" pbc="T T T"
Sr 0.441 1.222 4.227
Sr 4.204 3.665 5.465
In 2.025 3.665 0.290
In 2.621 1.222 9.402
I -0.772 3.665 6.321
I 5.417 1.222 3.371
Cl 0.537 1.222 1.254
Cl 1.964 3.665 3.523
Cl 2.681 1.222 6.169
Cl 4.108 3.665 8.438